1.
Here is a geometry-optimized Dy5Sc3 structure from the Alexandria database. Energies are from GGA-PBE.

Cell lengths 3.516, 5.464, 12.112 Å; angles 90.00, 90.00, 90.00 degrees
Fractional positions:
Dy1 0.000 0.000 0.000
Dy2 0.000 0.000 0.476
Dy3 0.000 0.500 0.828
Dy4 0.500 0.000 0.737
Dy5 0.500 0.500 0.562
Sc1 0.000 0.500 0.311
Sc2 0.500 0.000 0.237
Sc3 0.500 0.500 0.080

SG = Pmm2 (25)
energy = -5.220 eV per atom
DOS(E_F) = 1.814 states/eV/atom
energy of formation = 31 meV/atom


2.
Here is a geometry-optimized Dy3Sc structure from the Alexandria database. Energies are from GGA-PBE.

Cell lengths 3.552, 5.509, 6.137 Å; angles 90.00, 90.00, 90.00 degrees
Fractional positions:
Dy1 0.000 0.000 0.000
Dy2 0.000 0.500 0.339
Dy3 0.500 0.500 0.831
Sc1 0.500 0.000 0.504

SG = Pmm2 (25)
energy = -5.007 eV per atom
DOS(E_F) = 1.747 states/eV/atom
energy above the most stable polymorph in this dataset = 9.7 meV per atom
energy of formation = 28 meV/atom


3.
Here is a geometry-optimized Dy6Sc7 structure from the Alexandria database. Energies are from GGA-PBE.

Cell lengths 11.765, 11.765, 11.765 Å; angles 31.00, 31.00, 31.00 degrees
Fractional positions:
Dy1 0.047 0.047 0.047
Dy2 0.150 0.150 0.150
Dy3 0.333 0.333 0.333
Dy4 0.667 0.667 0.667
Dy5 0.850 0.850 0.850
Dy6 0.953 0.953 0.953
Sc1 0.088 0.590 0.590
Sc2 0.410 0.410 0.912
Sc3 0.410 0.912 0.410
Sc4 0.500 0.500 0.500
Sc5 0.590 0.088 0.590
Sc6 0.590 0.590 0.088
Sc7 0.912 0.410 0.410

SG = R-3m (166)
energy = -5.309 eV per atom
DOS(E_F) = 2.080 states/eV/atom
energy of formation = 225 meV/atom


4.
Here is a geometry-optimized Dy2Sc5 structure from the Alexandria database. Energies are from GGA-PBE.

Cell lengths 5.763, 5.763, 7.495 Å; angles 97.53, 97.53, 48.44 degrees
Fractional positions:
Dy1 0.072 0.072 0.218
Dy2 0.928 0.928 0.782
Sc1 0.214 0.214 0.643
Sc2 0.356 0.356 0.071
Sc3 0.500 0.500 0.500
Sc4 0.644 0.644 0.929
Sc5 0.786 0.786 0.357

SG = C2/m (12)
energy = -5.782 eV per atom
DOS(E_F) = 1.699 states/eV/atom
energy above the most stable polymorph in this dataset = 0.0 meV per atom
energy of formation = 56 meV/atom


5.
Here is a geometry-optimized Dy5Sc6 structure from the Alexandria database. Energies are from GGA-PBE.

Cell lengths 7.617, 7.617, 6.080 Å; angles 99.81, 99.81, 112.61 degrees
Fractional positions:
Dy1 0.000 0.000 0.000
Dy2 0.136 0.864 0.500
Dy3 0.264 0.736 0.000
Dy4 0.736 0.264 0.000
Dy5 0.864 0.136 0.500
Sc1 0.206 0.451 0.327
Sc2 0.346 0.346 0.805
Sc3 0.451 0.206 0.327
Sc4 0.549 0.794 0.673
Sc5 0.654 0.654 0.195
Sc6 0.794 0.549 0.673

SG = C2/m (12)
energy = -5.387 eV per atom
DOS(E_F) = 1.237 states/eV/atom
energy above the most stable polymorph in this dataset = 26.3 meV per atom
energy of formation = 158 meV/atom


6.
Here is a geometry-optimized DySc7 structure from the Alexandria database. Energies are from GGA-PBE.

Cell lengths 6.586, 6.586, 6.586 Å; angles 60.00, 60.00, 60.00 degrees
Fractional positions:
Dy1 0.000 0.000 0.000
Sc1 0.000 0.000 0.500
Sc2 0.000 0.500 0.000
Sc3 0.000 0.500 0.500
Sc4 0.500 0.000 0.000
Sc5 0.500 0.000 0.500
Sc6 0.500 0.500 0.000
Sc7 0.500 0.500 0.500

SG = Fm-3m (225)
energy = -6.060 eV per atom
DOS(E_F) = 2.069 states/eV/atom
energy above the most stable polymorph in this dataset = 25.4 meV per atom
energy of formation = 55 meV/atom